Record 1
# Ba10Bi4O3, optimized geometry, DFT PBE
# formation energy from raw total energies: -24.35 eV/f.u.
data_Ba10Bi4O3
_symmetry_space_group_name_H-M 'I 4/m m m'
_symmetry_Int_Tables_number 139
_symmetry_space_group_name_Hall '-I 4 2'
_cell_length_a 5.4687
_cell_length_b 5.4687
_cell_length_c 40.6127
_cell_angle_alpha 90.00
_cell_angle_beta 90.00
_cell_angle_gamma 90.00
loop_
_atom_site_label
_atom_site_type_symbol
_atom_site_fract_x
_atom_site_fract_y
_atom_site_fract_z
Ba1 Ba 0.0000 0.0000 0.0686
Ba2 Ba 0.0000 0.0000 0.2134
Ba3 Ba 0.0000 0.5000 0.0000
Ba4 Ba 0.0000 0.5000 0.1377
Bi1 Bi 0.0000 0.0000 0.3015
Bi2 Bi 0.0000 0.0000 0.4321
O1 O 0.0000 0.0000 0.0000
O2 O 0.0000 0.0000 0.1369

=====

Record 2
# Ba4BiO, optimized geometry, DFT PBE
# formation energy from raw total energies: -6.50 eV/f.u.
data_Ba4BiO
_symmetry_space_group_name_H-M 'C 1 2/c 1'
_symmetry_Int_Tables_number 15
_cell_length_a 9.7994
_cell_length_b 18.5078
_cell_length_c 7.3148
_cell_angle_alpha 90.00
_cell_angle_beta 125.46
_cell_angle_gamma 90.00
loop_
_symmetry_equiv_pos_as_xyz
'x,y,z'
'-x,-y,-z'
'-x,y,-z+1/2'
'x,-y,z+1/2'
'x+1/2,y+1/2,z'
'-x+1/2,-y+1/2,-z'
'-x+1/2,y+1/2,-z+1/2'
'x+1/2,-y+1/2,z+1/2'
loop_
_atom_site_label
_atom_site_type_symbol
_atom_site_fract_x
_atom_site_fract_y
_atom_site_fract_z
Ba1 Ba 0.1554 0.2190 0.1420
Ba2 Ba 0.2098 0.0438 0.6729
Bi1 Bi 0.0000 0.3856 0.7500
O1 O 0.0000 0.0048 0.2500

=====

Record 3
# BaBi2O5, optimized geometry, DFT PBE
# formation energy from raw total energies: -11.92 eV/f.u.
data_BaBi2O5
_symmetry_space_group_name_H-M 'C m c m'
_symmetry_Int_Tables_number 63
_symmetry_space_group_name_Hall '-C 2c 2'
_cell_length_a 4.3422
_cell_length_b 12.0009
_cell_length_c 11.2862
_cell_angle_alpha 90.00
_cell_angle_beta 90.00
_cell_angle_gamma 90.00
loop_
_atom_site_label
_atom_site_type_symbol
_atom_site_fract_x
_atom_site_fract_y
_atom_site_fract_z
Ba1 Ba 0.0000 0.0982 0.2500
Bi1 Bi 0.0000 0.3635 0.0570
O1 O 0.0000 0.1789 0.5104
O2 O 0.0000 0.3233 0.2500
O3 O 0.0000 0.4546 0.6124

=====

Record 4
# Ba5BiO8, optimized geometry, DFT PBE
# formation energy from raw total energies: -26.80 eV/f.u.
data_Ba5BiO8
_symmetry_space_group_name_H-M 'I -4'
_symmetry_Int_Tables_number 82
_cell_length_a 7.9998
_cell_length_b 7.9998
_cell_length_c 8.4995
_cell_angle_alpha 90.00
_cell_angle_beta 90.00
_cell_angle_gamma 90.00
loop_
_symmetry_equiv_pos_as_xyz
'x,y,z'
'y,-x,-z'
'-x,-y,z'
'-y,x,-z'
'x+1/2,y+1/2,z+1/2'
'y+1/2,-x+1/2,-z+1/2'
'-x+1/2,-y+1/2,z+1/2'
'-y+1/2,x+1/2,-z+1/2'
loop_
_atom_site_label
_atom_site_type_symbol
_atom_site_fract_x
_atom_site_fract_y
_atom_site_fract_z
Ba1 Ba 0.0000 0.0000 0.0000
Ba2 Ba 0.1316 0.7388 0.6169
Bi1 Bi 0.0000 0.5000 0.2500
O1 O 0.0510 0.7560 0.3003
O2 O 0.0740 0.6851 0.9314

=====

Question: Among the records above, which one has the highest formation energy from raw total energies?
Answer: Ba4BiO

=====

Question: What is the formation energy from raw total energies in the first record?
Answer: -24.35 eV/f.u.

=====

Question: The highest formation energy from raw total energies belongs to which entry?
Answer: Ba4BiO

=====

What did the first record say?
# Ba10Bi4O3, optimized geometry, DFT PBE
# formation energy from raw total energies: -24.35 eV/f.u.
data_Ba10Bi4O3
_symmetry_space_group_name_H-M 'I 4/m m m'
_symmetry_Int_Tables_number 139
_symmetry_space_group_name_Hall '-I 4 2'
_cell_length_a 5.4687
_cell_length_b 5.4687
_cell_length_c 40.6127
_cell_angle_alpha 90.00
_cell_angle_beta 90.00
_cell_angle_gamma 90.00
loop_
_atom_site_label
_atom_site_type_symbol
_atom_site_fract_x
_atom_site_fract_y
_atom_site_fract_z
Ba1 Ba 0.0000 0.0000 0.0686
Ba2 Ba 0.0000 0.0000 0.2134
Ba3 Ba 0.0000 0.5000 0.0000
Ba4 Ba 0.0000 0.5000 0.1377
Bi1 Bi 0.0000 0.0000 0.3015
Bi2 Bi 0.0000 0.0000 0.4321
O1 O 0.0000 0.0000 0.0000
O2 O 0.0000 0.0000 0.1369